[1]
# Ca4SiTe | Alexandria via LeMat-Bulk | PBE | relaxed
data_Ca4SiTe
_chemical_formula_sum 'Ca16 Si4 Te4'
_cell_length_a 9.0399
_cell_length_b 9.0399
_cell_length_c 9.0399
_cell_angle_alpha 90.00
_cell_angle_beta 90.00
_cell_angle_gamma 90.00
_space_group_name_H-M_alt 'F -4 3 m'
_space_group_IT_number 216
_space_group_name_Hall 'F -4 2 3'
loop_
_atom_site_label
_atom_site_type_symbol
_atom_site_fract_x
_atom_site_fract_y
_atom_site_fract_z
_atom_site_occupancy
Ca1 Ca 0.1247 0.1247 0.1247 1
Si1 Si 0.2500 0.2500 0.7500 1
Te1 Te 0.0000 0.0000 0.5000 1
# - E: -15.70 eV/f.u.
# - Formation energy (no corrections): 0.145 eV/atom
# - Magnetic moment: 0.000 μB/cell



[2]
# CaSiTe2 | Alexandria via LeMat-Bulk | PBE | relaxed
data_CaSiTe2
_chemical_formula_sum 'Ca4 Si4 Te8'
_cell_length_a 6.5807
_cell_length_b 6.5807
_cell_length_c 14.5224
_cell_angle_alpha 90.00
_cell_angle_beta 90.00
_cell_angle_gamma 90.00
_space_group_name_H-M_alt 'I -4 2 d'
_space_group_IT_number 122
_space_group_name_Hall 'I -4 2bw'
loop_
_atom_site_label
_atom_site_type_symbol
_atom_site_fract_x
_atom_site_fract_y
_atom_site_fract_z
_atom_site_occupancy
Ca1 Ca 0.0000 0.0000 0.0000 1
Si1 Si 0.0000 0.0000 0.5000 1
Te1 Te 0.2121 0.2500 0.6250 1
# - E: -15.39 eV/f.u.
# - Formation energy (no corrections): -0.420 eV/atom
# - Magnetic moment: 0.000 μB/cell



[3]
# CaSi2Te | Alexandria via LeMat-Bulk | PBE | relaxed
data_CaSi2Te
_chemical_formula_sum 'Ca1 Si2 Te1'
_cell_length_a 3.4427
_cell_length_b 3.4427
_cell_length_c 8.3950
_cell_angle_alpha 90.00
_cell_angle_beta 90.00
_cell_angle_gamma 90.00
_space_group_name_H-M_alt 'P 4 m m'
_space_group_IT_number 99
loop_
_space_group_symop_operation_xyz
'x,y,z'
'-y,x,z'
'-x,-y,z'
'y,-x,z'
'-x,y,z'
'y,x,z'
'x,-y,z'
'-y,-x,z'
loop_
_atom_site_label
_atom_site_type_symbol
_atom_site_fract_x
_atom_site_fract_y
_atom_site_fract_z
_atom_site_occupancy
Ca1 Ca 0.0000 0.0000 0.0000 1
Si1 Si 0.0000 0.0000 0.3614 1
Si2 Si 0.5000 0.5000 0.2790 1
Te1 Te 0.5000 0.5000 0.7543 1
# - E: -16.24 eV/f.u.
# - Formation energy (no corrections): -0.062 eV/atom
# - Magnetic moment: 0.000 μB/cell



[4]
# CaSiTe | Alexandria via LeMat-Bulk | PBE | relaxed
data_CaSiTe
_chemical_formula_sum 'Ca1 Si1 Te1'
_cell_length_a 4.8813
_cell_length_b 4.8813
_cell_length_c 3.8381
_cell_angle_alpha 90.00
_cell_angle_beta 90.00
_cell_angle_gamma 120.00
_space_group_name_H-M_alt 'P -6 m 2'
_space_group_IT_number 187
_space_group_name_Hall 'P -6 2'
loop_
_atom_site_label
_atom_site_type_symbol
_atom_site_fract_x
_atom_site_fract_y
_atom_site_fract_z
_atom_site_occupancy
Ca1 Ca 0.0000 0.0000 0.0000 1
Si1 Si 0.6667 0.3333 0.5000 1
Te1 Te 0.3333 0.6667 0.5000 1
# - E: -11.33 eV/f.u.
# - Formation energy (no corrections): -0.254 eV/atom
# - Magnetic moment: 0.000 μB/cell



[5]
# Ca2SiTe | Alexandria via LeMat-Bulk | PBE | relaxed
data_Ca2SiTe
_chemical_formula_sum 'Ca8 Si4 Te4'
_cell_length_a 7.5551
_cell_length_b 7.5551
_cell_length_c 7.5551
_cell_angle_alpha 90.00
_cell_angle_beta 90.00
_cell_angle_gamma 90.00
_space_group_name_H-M_alt 'F m -3 m'
_space_group_IT_number 225
_space_group_name_Hall '-F 4 2 3'
loop_
_atom_site_label
_atom_site_type_symbol
_atom_site_fract_x
_atom_site_fract_y
_atom_site_fract_z
_atom_site_occupancy
Ca1 Ca 0.2500 0.2500 0.2500 1
Si1 Si 0.0000 0.0000 0.0000 1
Te1 Te 0.0000 0.0000 0.5000 1
# - E: -14.86 eV/f.u.
# - Formation energy (no corrections): -0.573 eV/atom
# - Magnetic moment: 0.000 μB/cell



[6]
# CaSiTe2 | Alexandria via LeMat-Bulk | PBE | relaxed
data_CaSiTe2
_chemical_formula_sum 'Ca2 Si2 Te4'
_cell_length_a 4.3147
_cell_length_b 4.3147
_cell_length_c 11.6382
_cell_angle_alpha 90.00
_cell_angle_beta 90.00
_cell_angle_gamma 90.00
_space_group_name_H-M_alt 'I -4 m 2'
_space_group_IT_number 119
_space_group_name_Hall 'I -4 -2'
loop_
_atom_site_label
_atom_site_type_symbol
_atom_site_fract_x
_atom_site_fract_y
_atom_site_fract_z
_atom_site_occupancy
Ca1 Ca 0.0000 0.0000 0.0000 1
Si1 Si 0.0000 0.5000 0.7500 1
Te1 Te 0.0000 0.0000 0.5000 1
Te2 Te 0.0000 0.5000 0.2500 1
# - E: -15.06 eV/f.u.
# - Formation energy (no corrections): -0.337 eV/atom
# - Magnetic moment: 0.000 μB/cell



[7]
# CaSi3Te | Alexandria via LeMat-Bulk | PBE | relaxed
data_CaSi3Te
_chemical_formula_sum 'Ca1 Si3 Te1'
_cell_length_a 5.2293
_cell_length_b 5.2293
_cell_length_c 5.2293
_cell_angle_alpha 90.00
_cell_angle_beta 90.00
_cell_angle_gamma 90.00
_space_group_name_H-M_alt 'P m -3 m'
_space_group_IT_number 221
_space_group_name_Hall '-P 4 2 3'
loop_
_atom_site_label
_atom_site_type_symbol
_atom_site_fract_x
_atom_site_fract_y
_atom_site_fract_z
_atom_site_occupancy
Ca1 Ca 0.0000 0.0000 0.0000 1
Si1 Si 0.0000 0.5000 0.5000 1
Te1 Te 0.5000 0.5000 0.5000 1
# - E: -17.17 eV/f.u.
# - Formation energy (no corrections): 0.849 eV/atom
# - Magnetic moment: 0.000 μB/cell



[8]
# Ca2SiTe | Alexandria via LeMat-Bulk | PBE | relaxed
data_Ca2SiTe
_chemical_formula_sum 'Ca4 Si2 Te2'
_cell_length_a 6.9682
_cell_length_b 8.1982
_cell_length_c 3.7405
_cell_angle_alpha 90.00
_cell_angle_beta 90.82
_cell_angle_gamma 90.00
_space_group_name_H-M_alt 'C 1 2/m 1'
_space_group_IT_number 12
loop_
_space_group_symop_operation_xyz
'x,y,z'
'-x,-y,-z'
'-x,y,-z'
'x,-y,z'
'x+1/2,y+1/2,z'
'-x+1/2,-y+1/2,-z'
'-x+1/2,y+1/2,-z'
'x+1/2,-y+1/2,z'
loop_
_atom_site_label
_atom_site_type_symbol
_atom_site_fract_x
_atom_site_fract_y
_atom_site_fract_z
_atom_site_occupancy
Ca1 Ca 0.2500 0.2500 0.0000 1
Si1 Si 0.0000 0.0000 0.5000 1
Te1 Te 0.0000 0.5000 0.5000 1
# - E: -15.23 eV/f.u.
# - Formation energy (no corrections): -0.665 eV/atom
# - Magnetic moment: 0.000 μB/cell



[9]
# Ca2SiTe | Alexandria via LeMat-Bulk | PBE | relaxed
data_Ca2SiTe
_chemical_formula_sum 'Ca4 Si2 Te2'
_cell_length_a 4.3693
_cell_length_b 4.3693
_cell_length_c 11.3067
_cell_angle_alpha 90.00
_cell_angle_beta 90.00
_cell_angle_gamma 90.00
_space_group_name_H-M_alt 'I -4 m 2'
_space_group_IT_number 119
_space_group_name_Hall 'I -4 -2'
loop_
_atom_site_label
_atom_site_type_symbol
_atom_site_fract_x
_atom_site_fract_y
_atom_site_fract_z
_atom_site_occupancy
Ca1 Ca 0.0000 0.0000 0.0000 1
Ca2 Ca 0.0000 0.5000 0.2500 1
Si1 Si 0.0000 0.5000 0.7500 1
Te1 Te 0.0000 0.0000 0.5000 1
# - E: -14.91 eV/f.u.
# - Formation energy (no corrections): -0.586 eV/atom
# - Magnetic moment: 0.000 μB/cell



[10]
# CaSi2Te | Alexandria via LeMat-Bulk | PBE | relaxed
data_CaSi2Te
_chemical_formula_sum 'Ca2 Si4 Te2'
_cell_length_a 4.5074
_cell_length_b 4.5074
_cell_length_c 8.8934
_cell_angle_alpha 90.00
_cell_angle_beta 90.00
_cell_angle_gamma 90.00
_space_group_name_H-M_alt 'I -4 m 2'
_space_group_IT_number 119
_space_group_name_Hall 'I -4 -2'
loop_
_atom_site_label
_atom_site_type_symbol
_atom_site_fract_x
_atom_site_fract_y
_atom_site_fract_z
_atom_site_occupancy
Ca1 Ca 0.0000 0.0000 0.0000 1
Si1 Si 0.0000 0.0000 0.5000 1
Si2 Si 0.0000 0.5000 0.7500 1
Te1 Te 0.0000 0.5000 0.2500 1
# - E: -15.80 eV/f.u.
# - Formation energy (no corrections): 0.048 eV/atom
# - Magnetic moment: 0.000 μB/cell



[11]
# Ca2SiTe | Alexandria via LeMat-Bulk | PBE | relaxed
data_Ca2SiTe
_chemical_formula_sum 'Ca8 Si4 Te4'
_cell_length_a 8.1836
_cell_length_b 8.1836
_cell_length_c 6.9836
_cell_angle_alpha 90.00
_cell_angle_beta 90.00
_cell_angle_gamma 90.00
_space_group_name_H-M_alt 'I -4 2 d'
_space_group_IT_number 122
_space_group_name_Hall 'I -4 2bw'
loop_
_atom_site_label
_atom_site_type_symbol
_atom_site_fract_x
_atom_site_fract_y
_atom_site_fract_z
_atom_site_occupancy
Ca1 Ca 0.2337 0.7500 0.1250 1
Si1 Si 0.0000 0.0000 0.0000 1
Te1 Te 0.0000 0.0000 0.5000 1
# - E: -14.67 eV/f.u.
# - Formation energy (no corrections): -0.525 eV/atom
# - Magnetic moment: 0.000 μB/cell



[12]
# CaSiTe2 | Alexandria via LeMat-Bulk | PBE | relaxed
data_CaSiTe2
_chemical_formula_sum 'Ca1 Si1 Te2'
_cell_length_a 5.2295
_cell_length_b 5.2295
_cell_length_c 3.8747
_cell_angle_alpha 90.00
_cell_angle_beta 90.00
_cell_angle_gamma 90.00
_space_group_name_H-M_alt 'P 4/m m m'
_space_group_IT_number 123
_space_group_name_Hall '-P 4 2'
loop_
_atom_site_label
_atom_site_type_symbol
_atom_site_fract_x
_atom_site_fract_y
_atom_site_fract_z
_atom_site_occupancy
Ca1 Ca 0.0000 0.0000 0.0000 1
Si1 Si 0.5000 0.5000 0.0000 1
Te1 Te 0.0000 0.5000 0.5000 1
# - E: -15.12 eV/f.u.
# - Formation energy (no corrections): -0.354 eV/atom
# - Magnetic moment: 0.000 μB/cell



[13]
# Ca2SiTe | Alexandria via LeMat-Bulk | PBE | relaxed
data_Ca2SiTe
_chemical_formula_sum 'Ca6 Si3 Te3'
_cell_length_a 4.1301
_cell_length_b 4.1301
_cell_length_c 24.5259
_cell_angle_alpha 90.00
_cell_angle_beta 90.00
_cell_angle_gamma 120.00
_space_group_name_H-M_alt 'R -3 m'
_space_group_IT_number 166
_space_group_name_Hall '-R 3 2"'
loop_
_atom_site_label
_atom_site_type_symbol
_atom_site_fract_x
_atom_site_fract_y
_atom_site_fract_z
_atom_site_occupancy
Ca1 Ca 0.0000 0.0000 0.2474 1
Si1 Si 0.0000 0.0000 0.0000 1
Te1 Te 0.0000 0.0000 0.5000 1
# - E: -15.36 eV/f.u.
# - Formation energy (no corrections): -0.697 eV/atom
# - Magnetic moment: 0.000 μB/cell



[14]
# CaSiTe2 | Alexandria via LeMat-Bulk | PBE | relaxed
data_CaSiTe2
_chemical_formula_sum 'Ca3 Si3 Te6'
_cell_length_a 4.0247
_cell_length_b 4.0247
_cell_length_c 27.5908
_cell_angle_alpha 90.00
_cell_angle_beta 90.00
_cell_angle_gamma 120.00
_space_group_name_H-M_alt 'R -3 m'
_space_group_IT_number 166
_space_group_name_Hall '-R 3 2"'
loop_
_atom_site_label
_atom_site_type_symbol
_atom_site_fract_x
_atom_site_fract_y
_atom_site_fract_z
_atom_site_occupancy
Ca1 Ca 0.0000 0.0000 0.0000 1
Si1 Si 0.0000 0.0000 0.5000 1
Te1 Te 0.0000 0.0000 0.1098 1
# - E: -14.23 eV/f.u.
# - Formation energy (no corrections): -0.130 eV/atom
# - Magnetic moment: 0.000 μB/cell



[15]
# CaSiTe2 | Alexandria via LeMat-Bulk | PBE | relaxed
data_CaSiTe2
_chemical_formula_sum 'Ca4 Si4 Te8'
_cell_length_a 7.5916
_cell_length_b 7.5916
_cell_length_c 7.5916
_cell_angle_alpha 90.00
_cell_angle_beta 90.00
_cell_angle_gamma 90.00
_space_group_name_H-M_alt 'F -4 3 m'
_space_group_IT_number 216
_space_group_name_Hall 'F -4 2 3'
loop_
_atom_site_label
_atom_site_type_symbol
_atom_site_fract_x
_atom_site_fract_y
_atom_site_fract_z
_atom_site_occupancy
Ca1 Ca 0.0000 0.0000 0.0000 1
Si1 Si 0.2500 0.2500 0.7500 1
Te1 Te 0.0000 0.0000 0.5000 1
Te2 Te 0.2500 0.2500 0.2500 1
# - E: -13.59 eV/f.u.
# - Formation energy (no corrections): 0.029 eV/atom
# - Magnetic moment: 0.000 μB/cell



[16]
# CaSiTe | Alexandria via LeMat-Bulk | PBE | relaxed
data_CaSiTe
_chemical_formula_sum 'Ca4 Si4 Te4'
_cell_length_a 7.0568
_cell_length_b 7.0568
_cell_length_c 7.0568
_cell_angle_alpha 90.00
_cell_angle_beta 90.00
_cell_angle_gamma 90.00
_space_group_name_H-M_alt 'F -4 3 m'
_space_group_IT_number 216
_space_group_name_Hall 'F -4 2 3'
loop_
_atom_site_label
_atom_site_type_symbol
_atom_site_fract_x
_atom_site_fract_y
_atom_site_fract_z
_atom_site_occupancy
Ca1 Ca 0.0000 0.0000 0.0000 1
Si1 Si 0.2500 0.2500 0.2500 1
Te1 Te 0.0000 0.0000 0.5000 1
# - E: -10.90 eV/f.u.
# - Formation energy (no corrections): -0.112 eV/atom
# - Magnetic moment: 0.000 μB/cell



[17]
# CaSiTe2 | Alexandria via LeMat-Bulk | PBE | relaxed
data_CaSiTe2
_chemical_formula_sum 'Ca1 Si1 Te2'
_cell_length_a 3.7664
_cell_length_b 3.7664
_cell_length_c 8.2789
_cell_angle_alpha 90.00
_cell_angle_beta 90.00
_cell_angle_gamma 90.00
_space_group_name_H-M_alt 'P 4 m m'
_space_group_IT_number 99
loop_
_space_group_symop_operation_xyz
'x,y,z'
'-y,x,z'
'-x,-y,z'
'y,-x,z'
'-x,y,z'
'y,x,z'
'x,-y,z'
'-y,-x,z'
loop_
_atom_site_label
_atom_site_type_symbol
_atom_site_fract_x
_atom_site_fract_y
_atom_site_fract_z
_atom_site_occupancy
Ca1 Ca 0.0000 0.0000 0.0000 1
Si1 Si 0.5000 0.5000 0.2787 1
Te1 Te 0.0000 0.0000 0.3980 1
Te2 Te 0.5000 0.5000 0.7949 1
# - E: -15.00 eV/f.u.
# - Formation energy (no corrections): -0.324 eV/atom
# - Magnetic moment: 0.000 μB/cell



[18]
# CaSiTe2 | Alexandria via LeMat-Bulk | PBE | relaxed
data_CaSiTe2
_chemical_formula_sum 'Ca3 Si3 Te6'
_cell_length_a 4.3063
_cell_length_b 4.3063
_cell_length_c 21.6795
_cell_angle_alpha 90.00
_cell_angle_beta 90.00
_cell_angle_gamma 120.00
_space_group_name_H-M_alt 'R -3 m'
_space_group_IT_number 166
_space_group_name_Hall '-R 3 2"'
loop_
_atom_site_label
_atom_site_type_symbol
_atom_site_fract_x
_atom_site_fract_y
_atom_site_fract_z
_atom_site_occupancy
Ca1 Ca 0.0000 0.0000 0.0000 1
Si1 Si 0.0000 0.0000 0.5000 1
Te1 Te 0.0000 0.0000 0.2417 1
# - E: -16.17 eV/f.u.
# - Formation energy (no corrections): -0.616 eV/atom
# - Magnetic moment: 0.000 μB/cell



[19]
# CaSi3Te | Alexandria via LeMat-Bulk | PBE | relaxed
data_CaSi3Te
_chemical_formula_sum 'Ca1 Si3 Te1'
_cell_length_a 5.3677
_cell_length_b 5.3677
_cell_length_c 5.3677
_cell_angle_alpha 90.00
_cell_angle_beta 90.00
_cell_angle_gamma 90.00
_space_group_name_H-M_alt 'P m -3 m'
_space_group_IT_number 221
_space_group_name_Hall '-P 4 2 3'
loop_
_atom_site_label
_atom_site_type_symbol
_atom_site_fract_x
_atom_site_fract_y
_atom_site_fract_z
_atom_site_occupancy
Ca1 Ca 0.0000 0.0000 0.0000 1
Si1 Si 0.0000 0.0000 0.5000 1
Te1 Te 0.5000 0.5000 0.5000 1
# - E: -14.35 eV/f.u.
# - Formation energy (no corrections): 1.412 eV/atom
# - Magnetic moment: 1.177 μB/cell



[20]
# CaSi2Te | Alexandria via LeMat-Bulk | PBE | relaxed
data_CaSi2Te
_chemical_formula_sum 'Ca4 Si8 Te4'
_cell_length_a 7.2054
_cell_length_b 7.2054
_cell_length_c 7.2054
_cell_angle_alpha 90.00
_cell_angle_beta 90.00
_cell_angle_gamma 90.00
_space_group_name_H-M_alt 'F -4 3 m'
_space_group_IT_number 216
_space_group_name_Hall 'F -4 2 3'
loop_
_atom_site_label
_atom_site_type_symbol
_atom_site_fract_x
_atom_site_fract_y
_atom_site_fract_z
_atom_site_occupancy
Ca1 Ca 0.0000 0.0000 0.0000 1
Si1 Si 0.0000 0.0000 0.5000 1
Si2 Si 0.2500 0.2500 0.2500 1
Te1 Te 0.2500 0.2500 0.7500 1
# - E: -15.39 eV/f.u.
# - Formation energy (no corrections): 0.150 eV/atom
# - Magnetic moment: 0.000 μB/cell